Entry from Alexandria: an optimized crystal structure of LiCaAcGe (PBE).

Cell lengths 5.4089, 5.4089, 5.4089 Å; angles 60.00, 60.00, 60.00 degrees
Last column: nearest neighbours and their distance in Å.
Fractional positions:
Ac 0.7500 0.7500 0.7500  4 Ge 3.31, 4 Li 3.31
Ca 0.2500 0.2500 0.2500  4 Ge 3.31, 4 Li 3.31
Ge 0.5000 0.5000 0.5000  4 Ac 3.31, 4 Ca 3.31
Li 0.0000 0.0000 0.0000  4 Ca 3.31, 4 Ac 3.31

The calculation puts the formation energy at -0.34 eV/atom. The density of states at the Fermi level is 2.6 states/eV/cell.

Entry from Alexandria: an optimized crystal structure of Hg3SbMo (PBE).

Cell lengths 5.3843, 5.3843, 5.3843 Å; angles 90.00, 90.00, 90.00 degrees
Last column: nearest neighbours and their distance in Å.
Fractional positions:
Sb 0.5000 0.5000 0.5000  12 Hg 3.81
Mo 0.0000 0.0000 0.0000  6 Hg 2.69
Hg 0.0000 0.5000 0.0000  2 Mo 2.69
Hg 0.0000 0.0000 0.5000  2 Mo 2.69
Hg 0.5000 0.0000 0.0000  2 Mo 2.69

As for the formation energy (no corrections): 1.0105 eV/atom. The calculation puts the polymorph energy (0 for the lowest one) at 0 meV/atom. The density of states at the Fermi level is 5.1 states/eV/cell.

Entry from Alexandria: an optimized crystal structure of Pu2MgRu (PBE).

Cell lengths 5.1970, 3.5845, 3.5845 Å; angles 90.00, 90.00, 90.00 degrees
Last column: nearest neighbours and their distance in Å.
Fractional positions:
Ru 0.5000 0.0000 0.0000  4 Mg 2.53
Mg 0.5000 0.5000 0.5000  4 Ru 2.53
Pu 0.0000 0.0000 0.5000  4 Pu 2.53
Pu 0.0000 0.5000 0.0000  4 Pu 2.53

The calculation puts the formation energy at 0.53 eV/atom. The density of states at the Fermi level is 9.5 states/eV/cell.

Entry from Alexandria: an optimized crystal structure of Sr2NiPtC (PBE).

Cell lengths 5.4485, 5.4485, 3.6060 Å; angles 90.00, 90.00, 90.00 degrees
Last column: nearest neighbours and their distance in Å.
Fractional positions:
Sr 0.0000 0.5000 0.0000  2 C 2.72
Sr 0.5000 0.0000 0.0000  2 C 2.72
C 0.0000 0.0000 0.0000  2 Ni 1.80
Pt 0.5000 0.5000 0.5000  8 Sr 3.27, 2 Pt 3.61
Ni 0.0000 0.0000 0.5000  2 C 1.80

The calculation puts the formation energy at -0.20 eV/atom. The density of states at the Fermi level is 2.1 states/eV/cell.

Entry from Alexandria: an optimized crystal structure of TlNiRhS3 (PBE).

Cell lengths 3.6106, 8.0194, 9.2288 Å; angles 114.45, 90.00, 90.00 degrees
Last column: nearest neighbours and their distance in Å.
Fractional positions:
Tl 0.7500 0.7585 0.7330  7 S 3.19-3.47
Tl 0.2500 0.2415 0.2670  7 S 3.19-3.47
Ni 0.2500 0.0879 0.6132  4 S 2.19-2.23
Ni 0.7500 0.9121 0.3868  4 S 2.19-2.23
Rh 0.2500 0.6830 0.1551  6 S 2.38-2.47
Rh 0.7500 0.3170 0.8449  6 S 2.38-2.47
S 0.2500 0.7920 0.4480  3 Ni 2.23, 1 Rh 2.47
S 0.7500 0.8819 0.1402  1 Ni 2.19
S 0.7500 0.4736 0.1279  3 Rh 2.38-2.41
S 0.7500 0.2080 0.5520  3 Ni 2.23, 1 Rh 2.47
S 0.2500 0.5264 0.8721  3 Rh 2.38-2.41
S 0.2500 0.1181 0.8598  1 Ni 2.19

As for the formation energy (no corrections): -0.3697 eV/atom. The density of states at the Fermi level is 6.2 states/eV/cell.

Entry from Alexandria: an optimized crystal structure of Ta2TlHg (PBE).

Cell lengths 6.5896, 5.4051, 2.9477 Å; angles 89.84, 63.71, 119.26 degrees
Last column: nearest neighbours and their distance in Å.
Fractional positions:
Hg 0.5000 0.5000 0.0000  2 Hg 2.95, 2 Tl 2.95, 8 Ta 3.07-3.08
Ta 0.0000 0.0000 0.0000  4 Ta 2.95, 4 Hg 3.07-3.08, 4 Tl 3.07-3.08
Ta 0.5000 0.0000 0.5000  4 Ta 2.95, 4 Tl 3.07-3.08, 4 Hg 3.07-3.08
Tl 0.0000 0.5000 0.5000  2 Tl 2.95, 2 Hg 2.95, 8 Ta 3.07-3.08

The calculation puts the formation energy at 0.50 eV/atom. The density of states at the Fermi level is 1.1 states/eV/cell.

Entry from Alexandria: an optimized crystal structure of Sr2In3Ag5 (PBE).

Cell lengths 6.3619, 9.6087, 9.6087 Å; angles 71.55, 70.67, 70.67 degrees
Last column: nearest neighbours and their distance in Å.
Fractional positions:
Sr 0.1333 0.5985 0.1349  7 Ag 3.39-3.59, 4 In 3.56-3.69
Sr 0.6333 0.1349 0.5985  7 Ag 3.39-3.59, 4 In 3.56-3.69
Sr 0.8667 0.4015 0.8651  7 Ag 3.39-3.59, 4 In 3.56-3.69
Sr 0.3667 0.8651 0.4015  7 Ag 3.39-3.59, 4 In 3.56-3.69
In 0.3514 0.5583 0.7390  5 Ag 2.76-2.83
In 0.8514 0.7390 0.5583  5 Ag 2.76-2.83
In 0.6486 0.4417 0.2610  5 Ag 2.76-2.83
In 0.1486 0.2610 0.4417  5 Ag 2.76-2.83
In 0.2500 0.0000 0.0000  6 Ag 2.89-2.90, 2 In 3.18
In 0.7500 0.0000 0.0000  6 Ag 2.89-2.90, 2 In 3.18
Ag 0.3976 0.2736 0.9313  3 In 2.76-2.89, 2 Ag 2.88
Ag 0.8976 0.9313 0.2736  3 In 2.76-2.89, 2 Ag 2.88
Ag 0.6024 0.7264 0.0687  3 In 2.76-2.89, 2 Ag 2.88
Ag 0.1024 0.0687 0.7264  3 In 2.76-2.89, 2 Ag 2.88
Ag 0.4538 0.7962 0.7962  3 In 2.82-2.90, 2 Ag 2.88
Ag 0.5462 0.2038 0.2038  3 In 2.82-2.90, 2 Ag 2.88
Ag 0.7500 0.5000 0.5000  4 In 2.83
Ag 0.2500 0.5000 0.5000  4 In 2.83
Ag 0.0462 0.2038 0.2038  3 In 2.82-2.90, 2 Ag 2.88
Ag 0.9538 0.7962 0.7962  3 In 2.82-2.90, 2 Ag 2.88

The calculation puts the formation energy at -0.25 eV/atom. The density of states at the Fermi level is 10.7 states/eV/cell.

Entry from Alexandria: an optimized crystal structure of Ca2Si2IrRh (PBE).

Cell lengths 5.8436, 5.8409, 8.0987 Å; angles 111.14, 111.15, 90.00 degrees
Last column: nearest neighbours and their distance in Å.
Fractional positions:
Ca 0.4195 0.1667 0.3334  5 Si 3.09-3.34, 2 Rh 3.10, 2 Ir 3.12
Ca 0.5805 0.8333 0.6666  5 Si 3.09-3.34, 2 Rh 3.10, 2 Ir 3.12
Ca 0.0861 0.3333 0.6666  5 Si 3.09-3.34, 2 Rh 3.10, 2 Ir 3.12
Ca 0.9139 0.6667 0.3334  5 Si 3.09-3.34, 2 Rh 3.10, 2 Ir 3.12
Si 0.8456 0.0933 0.1866  2 Ir 2.43, 2 Rh 2.45
Si 0.3409 0.5933 0.1866  2 Ir 2.43, 2 Rh 2.45
Si 0.6591 0.4067 0.8134  2 Ir 2.43, 2 Rh 2.45
Si 0.1544 0.9067 0.8134  2 Ir 2.43, 2 Rh 2.45
Ir 0.0000 0.7500 0.0000  4 Si 2.43
Ir 0.0000 0.2500 0.0000  4 Si 2.43
Rh 0.5000 0.7500 0.0000  4 Si 2.45
Rh 0.5000 0.2500 0.0000  4 Si 2.45

As for the formation energy (no corrections): -0.8203 eV/atom. The density of states at the Fermi level is 6.3 states/eV/cell.

The calculation returns the following volume values, one per record and in order: 28.0; 31.2; 16.7; 21.4; 20.3; 19.7; 25.4; 19.8 Å³/atom.
The calculation returns the following E_tot values, one per record and in order: -3.50; -2.16; -9.35; -5.08; -5.02; -6.09; -2.83; -6.00 eV/atom.